--- P ---
The following is a PBE-GGA calculation of Li3Ag3Au2 after structural relaxation, from Alexandria.

Cell lengths 4.148, 4.159, 7.549 Å; angles 90.00, 90.00, 90.00 degrees
Fractional coordinates of all 8 atoms:
Li  0.000  0.000  0.000
Li  0.000  0.000  0.500
Li  0.500  0.500  0.000
Ag  0.000  0.500  0.240
Ag  0.000  0.500  0.760
Ag  0.500  0.500  0.500
Au  0.500  0.000  0.232
Au  0.500  0.000  0.768


--- Q ---
The following is a PBE-GGA calculation of Li3Ag3Au2 after structural relaxation, from Alexandria.

Cell lengths 5.125, 5.125, 5.125 Å; angles 87.64, 87.64, 87.64 degrees
Fractional coordinates of all 8 atoms:
Li  0.000  0.251  0.749
Li  0.251  0.749  0.000
Li  0.749  0.000  0.251
Ag  0.260  0.740  0.500
Ag  0.500  0.260  0.740
Ag  0.740  0.500  0.260
Au  0.238  0.238  0.238
Au  0.762  0.762  0.762


Most stable: P. Least stable: Q.


--- P ---
The following is a PBE-GGA calculation of Li5Ag2Au5 after structural relaxation, from Alexandria.

Cell lengths 6.576, 6.576, 8.925 Å; angles 116.46, 116.46, 34.99 degrees
Fractional coordinates of all 12 atoms:
Li  0.000  0.000  0.000
Li  0.080  0.080  0.752
Li  0.247  0.247  0.243
Li  0.753  0.753  0.757
Li  0.920  0.920  0.248
Ag  0.169  0.169  0.510
Ag  0.831  0.831  0.490
Au  0.332  0.332  0.996
Au  0.420  0.420  0.755
Au  0.500  0.500  0.500
Au  0.580  0.580  0.245
Au  0.668  0.668  0.004


--- Q ---
The following is a PBE-GGA calculation of Li5Ag2Au5 after structural relaxation, from Alexandria.

Cell lengths 4.914, 4.942, 9.483 Å; angles 81.22, 86.03, 60.65 degrees
Fractional coordinates of all 12 atoms:
Li  0.000  0.000  0.000
Li  0.005  0.711  0.760
Li  0.343  0.834  0.499
Li  0.657  0.166  0.501
Li  0.995  0.289  0.240
Ag  0.333  0.600  0.255
Ag  0.667  0.400  0.745
Au  0.000  0.500  0.500
Au  0.330  0.332  0.003
Au  0.333  0.065  0.739
Au  0.667  0.935  0.261
Au  0.670  0.668  0.997


Most stable: P. Least stable: Q.


--- P ---
The following is a PBE-GGA calculation of Li5AgAu6 after structural relaxation, from Alexandria.

Cell lengths 4.838, 5.646, 7.762 Å; angles 68.97, 78.30, 89.96 degrees
Fractional coordinates of all 12 atoms:
Li  0.000  0.000  0.000
Li  0.275  0.336  0.326
Li  0.278  0.836  0.328
Li  0.722  0.164  0.672
Li  0.725  0.664  0.674
Ag  0.000  0.500  0.000
Au  0.228  0.423  0.651
Au  0.229  0.926  0.652
Au  0.500  0.244  0.000
Au  0.500  0.756  0.000
Au  0.771  0.074  0.348
Au  0.772  0.577  0.349


--- Q ---
The following is a PBE-GGA calculation of Li5AgAu6 after structural relaxation, from Alexandria.

Cell lengths 4.265, 6.613, 6.985 Å; angles 90.12, 90.18, 103.82 degrees
Fractional coordinates of all 12 atoms:
Li  0.000  0.000  0.000
Li  0.326  0.664  0.000
Li  0.335  0.678  0.500
Li  0.665  0.322  0.500
Li  0.674  0.336  0.000
Ag  0.000  0.000  0.500
Au  0.176  0.342  0.243
Au  0.177  0.342  0.757
Au  0.499  0.999  0.775
Au  0.501  0.001  0.225
Au  0.823  0.658  0.243
Au  0.824  0.658  0.757


Most stable: Q. Least stable: P.